Entry from Alexandria via LeMat-Bulk: a geometry-optimized Pr5Sm3Bi8 structure (GGA-PBE).

Properties
- formation energy (eV per atom) = -0.946
- E (eV per atom) = -5.265
- symmetry = R-3m (166)

a b c (Å): 9.2228 9.2228 9.2238
angles (deg): 60.00 60.00 60.00
Closest atoms and distances in Å follow each position.
Fractional coordinates of all 16 atoms:
Bi 0.2483 0.2483 0.2552  3 Sm 3.24, 3 Pr 3.28
Pr 0.0000 0.0000 0.0000  6 Bi 3.26
Bi 0.7535 0.2500 0.7465  2 Sm 3.24, 4 Pr 3.26-3.28
Pr 0.5000 0.5000 0.0000  6 Bi 3.28
Sm 0.0000 0.5000 0.5000  6 Bi 3.24
Pr 0.5000 0.5000 0.5000  6 Bi 3.26
Bi 0.2465 0.7500 0.2535  2 Sm 3.24, 4 Pr 3.26-3.28
Pr 0.0000 0.5000 0.0000  6 Bi 3.28
Bi 0.7500 0.7500 0.2535  2 Sm 3.24, 4 Pr 3.26-3.28
Pr 0.5000 0.0000 0.0000  6 Bi 3.28
Bi 0.2500 0.7535 0.7465  2 Sm 3.24, 4 Pr 3.26-3.28
Bi 0.7500 0.2465 0.2535  2 Sm 3.24, 4 Pr 3.26-3.28
Sm 0.0000 0.0000 0.5000  6 Bi 3.24
Bi 0.7517 0.7517 0.7448  3 Sm 3.24, 3 Pr 3.28
Sm 0.5000 0.0000 0.5000  6 Bi 3.24
Bi 0.2500 0.2500 0.7465  2 Sm 3.24, 4 Pr 3.26-3.28

Entry from Alexandria via LeMat-Bulk: a geometry-optimized Ac3Ce2ThN6 structure (GGA-PBE).

Properties
- E (eV per atom) = -8.105
- ΔE_f (raw) (eV/atom) = -1.3081
- symmetry = C2/m (12)

a b c (Å): 6.4408 6.4408 6.5435
angles (deg): 99.45 99.45 119.97
Closest atoms and distances in Å follow each position.
Fractional coordinates of all 12 atoms:
N 0.4065 0.0712 0.2139  2 Ce 2.52, 1 Th 2.53, 3 Ac 2.76-2.79
N 0.7356 0.7356 0.2131  2 Ce 2.51, 1 Th 2.53, 3 Ac 2.77-2.80
N 0.9288 0.5935 0.7861  2 Ce 2.52, 1 Th 2.53, 3 Ac 2.76-2.79
Th 0.0000 0.0000 0.0000  6 N 2.53
Ce 0.6664 0.3336 0.0000  6 N 2.51-2.52
Ac 0.1679 0.8321 0.5000  6 N 2.76-2.80
N 0.2644 0.2644 0.7869  2 Ce 2.51, 1 Th 2.53, 3 Ac 2.77-2.80
Ce 0.3336 0.6664 0.0000  6 N 2.51-2.52
Ac 0.8321 0.1679 0.5000  6 N 2.76-2.80
Ac 0.5000 0.5000 0.5000  6 N 2.77-2.79
N 0.5935 0.9288 0.7861  2 Ce 2.52, 1 Th 2.53, 3 Ac 2.76-2.79
N 0.0712 0.4065 0.2139  2 Ce 2.52, 1 Th 2.53, 3 Ac 2.76-2.79

Please write out number 1 again, unchanged.
Entry from Alexandria via LeMat-Bulk: a geometry-optimized Pr5Sm3Bi8 structure (GGA-PBE).

Properties
- formation energy (eV per atom) = -0.946
- E (eV per atom) = -5.265
- symmetry = R-3m (166)

a b c (Å): 9.2228 9.2228 9.2238
angles (deg): 60.00 60.00 60.00
Closest atoms and distances in Å follow each position.
Fractional coordinates of all 16 atoms:
Bi 0.2483 0.2483 0.2552  3 Sm 3.24, 3 Pr 3.28
Pr 0.0000 0.0000 0.0000  6 Bi 3.26
Bi 0.7535 0.2500 0.7465  2 Sm 3.24, 4 Pr 3.26-3.28
Pr 0.5000 0.5000 0.0000  6 Bi 3.28
Sm 0.0000 0.5000 0.5000  6 Bi 3.24
Pr 0.5000 0.5000 0.5000  6 Bi 3.26
Bi 0.2465 0.7500 0.2535  2 Sm 3.24, 4 Pr 3.26-3.28
Pr 0.0000 0.5000 0.0000  6 Bi 3.28
Bi 0.7500 0.7500 0.2535  2 Sm 3.24, 4 Pr 3.26-3.28
Pr 0.5000 0.0000 0.0000  6 Bi 3.28
Bi 0.2500 0.7535 0.7465  2 Sm 3.24, 4 Pr 3.26-3.28
Bi 0.7500 0.2465 0.2535  2 Sm 3.24, 4 Pr 3.26-3.28
Sm 0.0000 0.0000 0.5000  6 Bi 3.24
Bi 0.7517 0.7517 0.7448  3 Sm 3.24, 3 Pr 3.28
Sm 0.5000 0.0000 0.5000  6 Bi 3.24
Bi 0.2500 0.2500 0.7465  2 Sm 3.24, 4 Pr 3.26-3.28